# 1
This record from Alexandria describes a geometry-optimized Li2TcSe structure. The functional is GGA-PBE.

Geometry as POSCAR:
```
Li2TcSe
1.0
3.7570 0.0000 0.0000
0.0000 3.7570 0.0000
0.0000 0.0000 4.0734
Li Se Tc
2 1 1
Direct
0.0000 0.0000 0.0000 Li
0.5000 0.5000 0.0000 Li
0.5000 0.0000 0.5000 Se
0.0000 0.5000 0.5000 Tc
```

Calculated values
Its space group is P4/mmm (123). The uncorrected formation energy is -0.04 eV/atom.

# 2
This record from Alexandria describes a geometry-optimized Li15Ge4 structure. The functional is GGA-PBE.

Geometry as POSCAR:
```
Li15Ge4
1.0
-7.7901 3.0275 3.9855
-1.3774 -1.0026 -9.1012
2.3803 -8.1571 3.6784
Li Ge
30 8
Direct
0.4684 0.1593 0.8829 Li
0.9145 0.6909 0.0316 Li
0.8091 0.7237 0.3407 Li
0.7763 0.5855 0.6171 Li
0.5855 0.6171 0.7763 Li
0.6171 0.7763 0.5855 Li
0.6593 0.9684 0.3829 Li
0.4145 0.5316 0.1909 Li
0.6250 0.3750 0.2500 Li
0.2500 0.6250 0.3750 Li
0.7500 0.8750 0.1250 Li
0.1250 0.7500 0.8750 Li
0.3750 0.2500 0.6250 Li
0.8750 0.1250 0.7500 Li
0.0855 0.2763 0.1171 Li
0.6909 0.0316 0.9145 Li
0.8829 0.4684 0.1593 Li
0.1593 0.8829 0.4684 Li
0.3407 0.8091 0.7237 Li
0.7237 0.3407 0.8091 Li
0.0316 0.9145 0.6909 Li
0.2237 0.3091 0.8407 Li
0.1909 0.4145 0.5316 Li
0.9684 0.3829 0.6593 Li
0.3091 0.8407 0.2237 Li
0.5316 0.1909 0.4145 Li
0.3829 0.6593 0.9684 Li
0.1171 0.0855 0.2763 Li
0.2763 0.1171 0.0855 Li
0.8407 0.2237 0.3091 Li
0.9156 0.9156 0.9156 Ge
0.5000 0.0000 0.0844 Ge
0.0000 0.0844 0.5000 Ge
0.0844 0.5000 0.0000 Ge
0.0000 0.5844 0.5000 Ge
0.5844 0.5000 0.0000 Ge
0.5000 0.0000 0.5844 Ge
0.4156 0.4156 0.4156 Ge
```

Calculated values
Its formation enthalpy at 0 K is -31 kJ/mol of atoms. Its space group is I-43d (220).

# 3
This record from Alexandria describes a geometry-optimized MoAs2W structure. The functional is GGA-PBE.

Geometry as POSCAR:
```
MoAs2W
1.0
-0.5062 4.4384 -1.7463
-4.5765 0.2990 -1.4040
1.7930 -1.4143 4.2179
Mo As W
1 2 1
Direct
0.5000 0.5000 0.0000 Mo
0.0000 0.0000 0.0000 As
0.2500 0.7500 0.5000 As
0.7500 0.2500 0.5000 W
```

Calculated values
Its formation enthalpy at 0 K is 37 kJ/mol of atoms. Its space group is I-4m2 (119). As for the energy above the most stable polymorph in this dataset: 0.404 eV/atom.

# 4
This record from Alexandria describes a geometry-optimized InBi2Pd2 structure. The functional is GGA-PBE.

Geometry as POSCAR:
```
InBi2Pd2
1.0
-1.1057 6.4352 1.9341
-6.6199 -0.6581 -1.5950
-1.8769 -3.3531 9.1733
In Bi Pd
4 8 8
Direct
0.5039 0.3189 0.3680 In
0.4961 0.6811 0.6320 In
0.0039 0.1811 0.3680 In
0.9961 0.8189 0.6320 In
0.4928 0.2557 0.0201 Bi
0.9928 0.2443 0.0201 Bi
0.0072 0.7557 0.9799 Bi
0.5072 0.7443 0.9799 Bi
0.8422 0.6287 0.2884 Bi
0.3422 0.8713 0.2884 Bi
0.6578 0.1287 0.7116 Bi
0.1578 0.3713 0.7116 Bi
0.7414 0.9975 0.1720 Pd
0.2414 0.5025 0.1720 Pd
0.7586 0.4975 0.8280 Pd
0.2586 0.0025 0.8280 Pd
0.8061 0.4457 0.5468 Pd
0.3061 0.0543 0.5468 Pd
0.6939 0.9457 0.4532 Pd
0.1939 0.5543 0.4532 Pd
```

Calculated values
Its formation enthalpy at 0 K is -27 kJ/mol of atoms. Its space group is P2_1/c (14). As for the energy above the most stable polymorph in this dataset: 0.000 eV/atom.

| no. | magnetization (μB/cell) | total DFT energy (no corrections) (eV for the cell shown) |
| --- | --- | --- |
| 1 | 1.70 | -17.8 |
| 2 | 0.00 | -106.7 |
| 3 | 0.00 | -31.6 |
| 4 | 0.00 | -89.1 |